Entry from the Alexandria database: Na2PmNdTe4 after structural relaxation (GGA-PBE).

POSCAR file:
```
Na2PmNdTe4
1.0
7.854 0.000 0.000
0.000 4.536 0.000
-2.618 0.000 7.575
Na Pm Nd Te
2 1 1 4
direct
0.000 0.000 0.000
0.500 0.500 0.000
0.000 0.500 0.500
0.500 0.000 0.500
0.245 0.000 0.738
0.252 0.500 0.261
0.748 0.500 0.739
0.755 0.000 0.262
```

- VASP energy (eV/cell) = -35.36
- crystal system = monoclinic
- uncorrected formation energy (eV/atom) = -1.3294
- ρ (Mg/m³) = 5.20

***

Entry from the Alexandria database: NaPmNdTl after structural relaxation (GGA-PBE).

POSCAR file:
```
NaPmNdTl
1.0
0.000 3.920 3.920
3.920 0.000 3.920
3.920 3.920 0.000
Na Pm Nd Tl
1 1 1 1
direct
0.000 0.000 0.000
0.750 0.750 0.750
0.250 0.250 0.250
0.500 0.500 0.500
```

- VASP energy (eV/cell) = -13.59
- crystal system = cubic
- formation energy (meV per atom) = -95.3
- DOS at the Fermi energy (states/eV/cell) = 5.5
- ρ (Mg/m³) = 7.12